Here is Mg8TlPb6 after structural relaxation from Alexandria via LeMat-Bulk. Energies are from PBE-GGA.

Unit cell a=8.9623 b=8.9623 c=7.7609 alpha=54.73 beta=54.73 gamma=60.00
With the nearest neighbours (Å) after each atom.
Fractional coordinates of all 15 atoms:
Mg (0.2475, 0.2475, 0.2575)  6 Mg 3.17-3.45, 6 Pb 3.34-3.52
Mg (0.6257, 0.1347, 0.2992)  1 Tl 2.88, 2 Mg 3.04-3.17, 3 Pb 3.13-3.22
Mg (0.7525, 0.7525, 0.7425)  6 Mg 3.17-3.45, 6 Pb 3.34-3.52
Mg (0.3743, 0.8653, 0.7008)  1 Tl 2.88, 2 Mg 3.04-3.17, 3 Pb 3.13-3.22
Mg (0.8653, 0.0596, 0.7008)  1 Tl 2.88, 2 Mg 3.04-3.17, 3 Pb 3.13-3.22
Mg (0.1347, 0.9404, 0.2992)  1 Tl 2.88, 2 Mg 3.04-3.17, 3 Pb 3.13-3.22
Mg (0.9404, 0.6257, 0.2992)  1 Tl 2.88, 2 Mg 3.04-3.17, 3 Pb 3.13-3.22
Mg (0.0596, 0.3743, 0.7008)  1 Tl 2.88, 2 Mg 3.04-3.17, 3 Pb 3.13-3.22
Pb (0.8417, 0.3712, 0.2273)  6 Mg 3.13-3.35, 1 Pb 3.38
Pb (0.5597, 0.8417, 0.2273)  6 Mg 3.13-3.35, 1 Pb 3.38
Pb (0.4403, 0.1583, 0.7727)  6 Mg 3.13-3.35, 1 Pb 3.38
Pb (0.1583, 0.6288, 0.7727)  6 Mg 3.13-3.35, 1 Pb 3.38
Pb (0.6288, 0.4403, 0.7727)  6 Mg 3.13-3.35, 1 Pb 3.38
Pb (0.3712, 0.5597, 0.2273)  6 Mg 3.13-3.35, 1 Pb 3.38
Tl (0.0000, 0.0000, 0.0000)  6 Mg 2.88

As for the energy of formation: 0.010 eV per atom. The calculation puts the uncorrected energy at -2.48 eV per atom. Its total magnetization is 0.00 μB/f.u.


Here is Sr2Mg2Co after structural relaxation from Alexandria via LeMat-Bulk. Energies are from PBE-GGA.

Unit cell a=7.3700 b=7.3700 c=5.4998 alpha=90.00 beta=90.00 gamma=90.00
With the nearest neighbours (Å) after each atom.
Fractional coordinates of all 10 atoms:
Co (0.5000, 0.5000, 0.0000)  4 Mg 2.81
Co (0.0000, 0.0000, 0.0000)  4 Mg 2.81
Mg (0.8512, 0.6488, 0.0000)  2 Co 2.81, 1 Mg 3.10
Mg (0.6488, 0.1488, 0.0000)  2 Co 2.81, 1 Mg 3.10
Mg (0.3512, 0.8512, 0.0000)  2 Co 2.81, 1 Mg 3.10
Mg (0.1488, 0.3512, 0.0000)  2 Co 2.81, 1 Mg 3.10
Sr (0.8209, 0.3209, 0.5000)  6 Mg 3.28-3.67
Sr (0.1791, 0.6791, 0.5000)  6 Mg 3.28-3.67
Sr (0.3209, 0.1791, 0.5000)  6 Mg 3.28-3.67
Sr (0.6791, 0.8209, 0.5000)  6 Mg 3.28-3.67

As for the energy of formation: 0.343 eV per atom. The calculation puts the uncorrected energy at -2.39 eV per atom. Its total magnetization is 1.23 μB/f.u. The energy above the lowest structure with this stoichiometry is 0 meV/atom.


Here is Ac4InSb3 after structural relaxation from Alexandria via LeMat-Bulk. Energies are from PBE-GGA.

Unit cell a=6.7977 b=6.7977 c=6.7977 alpha=90.00 beta=90.00 gamma=90.00
With the nearest neighbours (Å) after each atom.
Fractional coordinates of all 8 atoms:
In (0.0000, 0.0000, 0.0000)  6 Ac 3.40
Ac (0.0000, 0.0000, 0.5000)  4 Sb 3.40, 2 In 3.40
Ac (0.5000, 0.0000, 0.0000)  4 Sb 3.40, 2 In 3.40
Ac (0.5000, 0.5000, 0.5000)  6 Sb 3.40
Ac (0.0000, 0.5000, 0.0000)  2 In 3.40, 4 Sb 3.40
Sb (0.0000, 0.5000, 0.5000)  6 Ac 3.40
Sb (0.5000, 0.0000, 0.5000)  6 Ac 3.40
Sb (0.5000, 0.5000, 0.0000)  6 Ac 3.40

The calculation puts the uncorrected energy at -4.86 eV per atom. Its total magnetization is 0.00 μB/f.u. The value obtained for the uncorrected formation energy is -914 meV/atom.


Here is Li5AgHg after structural relaxation from Alexandria via LeMat-Bulk. Energies are from PBE-GGA.

Unit cell a=4.4446 b=4.4446 c=6.6818 alpha=90.00 beta=90.00 gamma=90.00
With the nearest neighbours (Å) after each atom.
Fractional coordinates of all 7 atoms:
Li (0.0000, 0.0000, 0.5000)  8 Li 2.87, 4 Hg 3.14
Li (0.5000, 0.0000, 0.2271)  2 Ag 2.69, 2 Hg 2.87, 2 Li 2.87
Li (0.0000, 0.5000, 0.7729)  2 Ag 2.69, 2 Hg 2.87, 2 Li 2.87
Li (0.5000, 0.0000, 0.7729)  2 Ag 2.69, 2 Hg 2.87, 2 Li 2.87
Li (0.0000, 0.5000, 0.2271)  2 Ag 2.69, 2 Hg 2.87, 2 Li 2.87
Hg (0.5000, 0.5000, 0.5000)  12 Li 2.87-3.14
Ag (0.0000, 0.0000, 0.0000)  8 Li 2.69

As for the energy of formation: -0.170 eV per atom. The calculation puts the uncorrected energy at -1.99 eV per atom. Its total magnetization is 0.00 μB/f.u. The energy above the lowest structure with this stoichiometry is 0 meV/atom.


Here is ZnCdRe2 after structural relaxation from Alexandria via LeMat-Bulk. Energies are from PBE-GGA.

Unit cell a=5.0647 b=5.0647 c=4.7760 alpha=77.36 beta=77.36 gamma=32.30
With the nearest neighbours (Å) after each atom.
Fractional coordinates of all 4 atoms:
Zn (0.7500, 0.7500, 0.7500)  6 Re 2.75-3.00, 4 Cd 2.77, 2 Zn 2.82
Cd (0.2500, 0.2500, 0.2500)  4 Zn 2.77, 2 Cd 2.82, 6 Re 2.89-2.91
Re (0.0094, 0.0094, 0.9895)  6 Re 2.73-2.83, 3 Zn 2.75-3.00, 3 Cd 2.89-2.91
Re (0.4906, 0.4906, 0.5105)  6 Re 2.73-2.83, 3 Zn 2.75-3.00, 3 Cd 2.89-2.91

As for the energy of formation: 0.491 eV per atom. The calculation puts the uncorrected energy at -6.28 eV per atom. Its total magnetization is 0.00 μB/f.u. The energy above the lowest structure with this stoichiometry is 327 meV/atom.


Here is MgTeOsN2 after structural relaxation from Alexandria via LeMat-Bulk. Energies are from PBE-GGA.

Unit cell a=3.9491 b=5.5283 c=3.9491 alpha=90.00 beta=90.00 gamma=90.00
With the nearest neighbours (Å) after each atom.
Fractional coordinates of all 5 atoms:
N (0.0000, 0.0000, 0.5000)  2 Mg 1.97
N (0.5000, 0.0000, 0.0000)  2 Mg 1.97
Mg (0.0000, 0.0000, 0.0000)  4 N 1.97
Te (0.5000, 0.5000, 0.5000)  4 Os 2.79
Os (0.0000, 0.5000, 0.0000)  2 Mg 2.76, 4 Te 2.79

The calculation puts the uncorrected energy at -4.64 eV per atom. Its total magnetization is 4.27 μB/f.u. The energy above the lowest structure with this stoichiometry is 1494 meV/atom. The value obtained for the uncorrected formation energy is 1884 meV/atom.